Record 1
{
  "formula": "Ce2BeGe2Pd4",
  "functional": "PBE-GGA",
  "state": "relaxed",
  "energy_ev_per_cell": -50.61,
  "magmom_total_mub_per_atom": 0.133,
  "density_g_cm3": 8.61,
  "lattice_angstrom": [[-5.109, 3.141, -1.184], [-0.446, -5.026, 3.450], [4.177, 2.569, 3.650]],
  "species": ["Ce", "Ce", "Be", "Ge", "Ge", "Pd", "Pd", "Pd", "Pd"],
  "fractional_positions": [[0.500, 0.750, 0.250], [0.500, 0.250, 0.750], [0.000, 0.000, 0.000], [0.000, 0.701, 0.701], [0.000, 0.299, 0.299], [0.000, 0.737, 0.263], [0.474, 0.737, 0.737], [0.000, 0.263, 0.737], [0.526, 0.263, 0.263]]
}

---

Record 2
{
  "formula": "Ce2BeGePd6",
  "functional": "PBE-GGA",
  "state": "relaxed",
  "energy_ev_per_cell": -57.44,
  "magmom_total_mub_per_atom": 0.164,
  "density_g_cm3": 8.89,
  "lattice_angstrom": [[5.807, 0.033, 0.005], [-0.046, 7.154, 0.981], [2.866, 4.257, 5.080]],
  "species": ["Ce", "Ce", "Be", "Ge", "Pd", "Pd", "Pd", "Pd", "Pd", "Pd"],
  "fractional_positions": [[0.729, 0.272, 0.543], [0.271, 0.728, 0.457], [0.500, 0.500, 0.000], [0.000, 0.000, 0.000], [0.263, 0.225, 0.476], [0.778, 0.738, 0.960], [0.263, 0.739, 0.962], [0.737, 0.261, 0.038], [0.222, 0.262, 0.040], [0.737, 0.775, 0.524]]
}

---

Record 3
{
  "formula": "Ce2BeGe4Pd3",
  "functional": "PBE-GGA",
  "state": "relaxed",
  "energy_ev_per_cell": -56.36,
  "magmom_total_mub_per_atom": 0.087,
  "density_g_cm3": 8.04,
  "lattice_angstrom": [[-3.303, 2.583, -0.182], [-2.439, -3.005, 1.625], [2.183, 3.476, 9.704]],
  "species": ["Ce", "Ce", "Be", "Ge", "Ge", "Ge", "Ge", "Pd", "Pd", "Pd"],
  "fractional_positions": [[0.500, 0.000, 0.256], [0.000, 0.500, 0.744], [0.500, 0.500, 0.500], [0.500, 0.500, 0.000], [0.000, 0.000, 0.000], [0.500, 0.000, 0.628], [0.000, 0.500, 0.372], [0.000, 0.000, 0.500], [0.500, 0.000, 0.863], [0.000, 0.500, 0.137]]
}

---

Record 4
{
  "formula": "Ce2Be4Ge3Pd",
  "functional": "PBE-GGA",
  "state": "relaxed",
  "energy_ev_per_cell": -50.47,
  "magmom_total_mub_per_atom": 0.107,
  "density_g_cm3": 6.74,
  "lattice_angstrom": [[4.046, 0.000, 0.000], [0.000, 4.046, 0.000], [0.000, 0.000, 9.634]],
  "species": ["Ce", "Ce", "Be", "Be", "Be", "Be", "Ge", "Ge", "Ge", "Pd"],
  "fractional_positions": [[0.500, 0.000, 0.245], [0.000, 0.500, 0.755], [0.500, 0.500, 0.000], [0.000, 0.000, 0.000], [0.500, 0.000, 0.628], [0.000, 0.500, 0.372], [0.000, 0.000, 0.500], [0.500, 0.000, 0.869], [0.000, 0.500, 0.131], [0.500, 0.500, 0.500]]
}

---

Record 5
{
  "formula": "CePmBeGe",
  "functional": "PBE-GGA",
  "state": "relaxed",
  "energy_ev_per_cell": -19.86,
  "magmom_total_mub_per_atom": 0.205,
  "density_g_cm3": 6.71,
  "lattice_angstrom": [[5.044, 0.000, 0.000], [2.522, 4.368, 0.000], [2.522, 1.456, 4.118]],
  "species": ["Be", "Ge", "Ce", "Pm"],
  "fractional_positions": [[0.750, 0.750, 0.750], [0.250, 0.250, 0.250], [0.500, 0.500, 0.500], [0.000, 0.000, 0.000]]
}

---

Record 6
{
  "formula": "CeBeGePt",
  "functional": "PBE-GGA",
  "state": "relaxed",
  "energy_ev_per_cell": -46.04,
  "magmom_total_mub_per_atom": 0.008,
  "density_g_cm3": 9.38,
  "lattice_angstrom": [[4.097, 0.000, 0.000], [0.000, 4.097, 0.000], [0.000, 0.000, 8.792]],
  "species": ["Ce", "Ce", "Be", "Be", "Ge", "Ge", "Pt", "Pt"],
  "fractional_positions": [[0.000, 0.500, 0.792], [0.500, 0.000, 0.208], [0.000, 0.500, 0.376], [0.500, 0.000, 0.624], [0.500, 0.000, 0.880], [0.000, 0.500, 0.120], [0.000, 0.000, 0.500], [0.500, 0.500, 0.500]]
}

---

Record 7
{
  "formula": "Ce2BeGe4Pt3",
  "functional": "PBE-GGA",
  "state": "relaxed",
  "energy_ev_per_cell": -60.07,
  "magmom_total_mub_per_atom": 0.078,
  "density_g_cm3": 10.38,
  "lattice_angstrom": [[4.236, 0.000, 0.000], [0.000, 4.236, 0.000], [0.000, 0.000, 10.389]],
  "species": ["Ce", "Ce", "Be", "Ge", "Ge", "Ge", "Ge", "Pt", "Pt", "Pt"],
  "fractional_positions": [[0.500, 0.000, 0.256], [0.000, 0.500, 0.744], [0.500, 0.500, 0.500], [0.500, 0.500, 0.000], [0.000, 0.000, 0.000], [0.500, 0.000, 0.629], [0.000, 0.500, 0.371], [0.000, 0.000, 0.500], [0.500, 0.000, 0.867], [0.000, 0.500, 0.133]]
}

---

Record 8
{
  "formula": "Ce2Be4GePt3",
  "functional": "PBE-GGA",
  "state": "relaxed",
  "energy_ev_per_cell": -56.52,
  "magmom_total_mub_per_atom": 0.085,
  "density_g_cm3": 10.18,
  "lattice_angstrom": [[-3.932, 0.481, 0.812], [-0.359, -3.980, 0.619], [2.096, 1.272, 9.399]],
  "species": ["Ce", "Ce", "Be", "Be", "Be", "Be", "Ge", "Pt", "Pt", "Pt"],
  "fractional_positions": [[0.500, 0.000, 0.248], [0.000, 0.500, 0.752], [0.500, 0.500, 0.000], [0.000, 0.000, 0.000], [0.500, 0.000, 0.633], [0.000, 0.500, 0.367], [0.500, 0.500, 0.500], [0.000, 0.000, 0.500], [0.500, 0.000, 0.877], [0.000, 0.500, 0.123]]
}